Compound: AsPCl2
Source: Alexandria
Functional: meta-GGA SCAN
Structure: PBEsol geometry

Geometry as POSCAR:
```
AsPCl2
1.0
-3.2002 -1.0123 -1.4635
1.4164 -3.5440 -0.6458
-2.1650 -2.2806 6.3116
As P Cl
1 1 2
direct
0.5000 0.4592 0.6225
0.0000 0.0445 0.6364
0.0000 0.9954 0.9291
0.5000 0.5009 0.3119
```

## Properties
raw total energy = -12.05 eV per atom
formation energy without anion corrections = -412 meV/atom
relative energy among the computed polymorphs = 0.0 meV/atom